# 1
First-principles (PBE) data for a geometry-optimized CoCu2Tc structure, as listed in the Alexandria database.

## Properties
E above lowest polymorph = 137 meV per atom
density of states at the Fermi level = 3.21 states/eV/f.u.
total moment = 2.3 μB per cell

Cell lengths 4.7439, 4.7439, 2.4567 Å; angles 90.10, 90.10, 114.25 degrees
With the nearest neighbours (Å) after each atom.
Fractional positions:
Co1 0.0000 0.0000 0.0000  2 Co 2.46, 2 Tc 2.58, 8 Cu 2.67
Cu1 0.0000 0.5000 0.5000  4 Cu 2.46-2.58, 4 Tc 2.67, 4 Co 2.67
Cu2 0.5000 0.0000 0.5000  4 Cu 2.46-2.58, 4 Co 2.67, 4 Tc 2.67
Tc1 0.5000 0.5000 0.0000  2 Tc 2.46, 2 Co 2.58, 8 Cu 2.67

# 2
First-principles (PBE) data for a geometry-optimized CoCu2Tc structure, as listed in the Alexandria database.

## Properties
E above lowest polymorph = 312 meV per atom
density of states at the Fermi level = 5.16 states/eV/f.u.
total moment = 0.0 μB per cell

Cell lengths 4.1088, 4.1088, 4.1088 Å; angles 60.00, 60.00, 60.00 degrees
With the nearest neighbours (Å) after each atom.
Fractional positions:
Co1 0.0000 0.0000 0.0000  8 Cu 2.52
Cu1 0.2500 0.2500 0.2500  4 Tc 2.52, 4 Co 2.52
Cu2 0.7500 0.7500 0.7500  4 Tc 2.52, 4 Co 2.52
Tc1 0.5000 0.5000 0.5000  8 Cu 2.52

# 3
First-principles (PBE) data for a geometry-optimized Co4CuTc structure, as listed in the Alexandria database.

## Properties
density of states at the Fermi level = 7.04 states/eV/f.u.
raw total energy = -6.913 eV/atom
total moment = 0.0 μB per cell

Cell lengths 4.5997, 4.5997, 4.5997 Å; angles 60.00, 60.00, 60.00 degrees
With the nearest neighbours (Å) after each atom.
Fractional positions:
Co1 0.3755 0.3755 0.3755  6 Co 2.29-2.31
Co2 0.3755 0.3755 0.8734  6 Co 2.29-2.31
Co3 0.3755 0.8734 0.3755  6 Co 2.29-2.31
Co4 0.8734 0.3755 0.3755  6 Co 2.29-2.31
Cu1 0.7500 0.7500 0.7500  12 Co 2.70, 4 Tc 2.82
Tc1 0.0000 0.0000 0.0000  12 Co 2.70, 4 Cu 2.82

# 4
First-principles (PBE) data for a geometry-optimized CoCuTc3 structure, as listed in the Alexandria database.

## Properties
E above lowest polymorph = 0 meV per atom
density of states at the Fermi level = 6.04 states/eV/f.u.
total moment = 0.2 μB per cell

Cell lengths 4.3751, 4.3751, 4.3751 Å; angles 90.00, 90.00, 90.00 degrees
With the nearest neighbours (Å) after each atom.
Fractional positions:
Co1 0.0000 0.0000 0.0000  6 Tc 2.19
Cu1 0.5000 0.5000 0.5000  12 Tc 3.09
Tc1 0.0000 0.0000 0.5000  2 Co 2.19
Tc2 0.0000 0.5000 0.0000  2 Co 2.19
Tc3 0.5000 0.0000 0.0000  2 Co 2.19

# 5
First-principles (PBE) data for a geometry-optimized CoCuTc4 structure, as listed in the Alexandria database.

## Properties
density of states at the Fermi level = 8.00 states/eV/f.u.
raw total energy = -8.158 eV/atom
total moment = 1.9 μB per cell

Cell lengths 5.0451, 5.0451, 5.0451 Å; angles 60.00, 60.00, 60.00 degrees
With the nearest neighbours (Å) after each atom.
Fractional positions:
Co1 0.0000 0.0000 0.0000  12 Tc 2.96, 4 Cu 3.09
Cu1 0.7500 0.7500 0.7500  12 Tc 2.96, 4 Co 3.09
Tc1 0.3753 0.3753 0.3753  6 Tc 2.52-2.53
Tc2 0.3753 0.3753 0.8742  6 Tc 2.52-2.53
Tc3 0.3753 0.8742 0.3753  6 Tc 2.52-2.53
Tc4 0.8742 0.3753 0.3753  6 Tc 2.52-2.53

# 6
First-principles (PBE) data for a geometry-optimized Co3CuTc structure, as listed in the Alexandria database.

## Properties
E above lowest polymorph = 85 meV per atom
density of states at the Fermi level = 6.28 states/eV/f.u.
total moment = 1.6 μB per cell

Cell lengths 4.3683, 4.3683, 4.3683 Å; angles 90.00, 90.00, 90.00 degrees
With the nearest neighbours (Å) after each atom.
Fractional positions:
Co1 0.0000 0.0000 0.5000  2 Tc 2.18
Co2 0.0000 0.5000 0.0000  2 Tc 2.18
Co3 0.5000 0.0000 0.0000  2 Tc 2.18
Cu1 0.5000 0.5000 0.5000  12 Co 3.09
Tc1 0.0000 0.0000 0.0000  6 Co 2.18